Material: NaCoPdF6
Method: DFT, PBE+U
State: optimized geometry

energy = -79.50 eV per cell
mass density = 4.2 g cm⁻³
size of the total moment = 8.0 μB/cell

Lattice parameters (Å, degrees): 4.871 4.871 9.964 90.00 90.00 90.00
Space group P4_2nm (No. 102)
One atom of each set of equivalent atoms:
Na1 0.000 0.000 0.000 [2 per cell]
Co1 0.000 0.000 0.335 [2 per cell]
Pd1 0.000 0.000 0.669 [2 per cell]
F1 0.183 0.183 0.497 [4 per cell]
F2 0.210 0.210 0.827 [4 per cell]
F3 0.211 0.211 0.176 [4 per cell]